A plane-wave DFT calculation with PBE was carried out for an optimized crystal structure of HfAlPd2C.

a b c (Å): 4.7253 3.7427 4.7253
angles (deg): 90.00 90.00 90.00
Element x y z (fractional)
C1 0.0000 0.5000 0.0000
Hf1 0.5000 0.5000 0.5000
Al1 0.0000 0.0000 0.0000
Pd1 0.0000 0.0000 0.5000
Pd2 0.5000 0.0000 0.0000

Total magnetic moment ... 0.0 μB/f.u.
Space-group type ... P4/mmm (123)
Calculated volume ... 83.6 Å³ per cell
Density of states at the Fermi level ... 3.7 states/eV per cell
Energy of formation from the pure elements ... 0.57 eV/atom
DFT total energy ... -0.224 hartree per atom



A plane-wave DFT calculation with PBE was carried out for an optimized crystal structure of RbV.

a b c (Å): 13.7630 13.7630 3.0989
angles (deg): 90.00 90.00 120.00
Last column: magnetic moment on the atom in μB.
Element x y z (fractional)
Rb1 0.8160 0.6319 0.2500  0.00
Rb2 0.1840 0.8160 0.7500  0.00
Rb3 0.3681 0.1840 0.2500  0.00
Rb4 0.1840 0.3681 0.7500  0.00
Rb5 0.8160 0.1840 0.2500  0.00
Rb6 0.6319 0.8160 0.7500  0.00
V1 0.5322 0.0644 0.2500  0.35
V2 0.4678 0.5322 0.7500  0.35
V3 0.9356 0.4678 0.2500  0.35
V4 0.4678 0.9356 0.7500  0.35
V5 0.5322 0.4678 0.2500  0.35
V6 0.0644 0.5322 0.7500  0.35

Total magnetic moment ... 0.3 μB/f.u.
Space-group type ... P6_3/mmc (194)
Calculated volume ... 508.3 Å³ per cell
Density of states at the Fermi level ... 14.0 states/eV per cell
Relative energy among the computed polymorphs ... 572 meV per atom
Energy of formation from the pure elements ... 1.40 eV/atom
DFT total energy ... -0.134 hartree per atom



A plane-wave DFT calculation with PBE was carried out for an optimized crystal structure of LiYHo2.

a b c (Å): 3.5964 3.5964 8.7987
angles (deg): 90.00 90.00 90.00
Element x y z (fractional)
Y1 0.5000 0.5000 0.5000
Ho1 0.0000 0.0000 0.7798
Ho2 0.0000 0.0000 0.2202
Li1 0.5000 0.5000 0.0000

Total magnetic moment ... 0.0 μB/f.u.
Space-group type ... P4/mmm (123)
Calculated volume ... 113.8 Å³ per cell
Density of states at the Fermi level ... 4.8 states/eV per cell
Relative energy among the computed polymorphs ... 0 meV per atom
Energy of formation from the pure elements ... 0.07 eV/atom
DFT total energy ... -0.158 hartree per atom



A plane-wave DFT calculation with PBE was carried out for an optimized crystal structure of Pm12SnRu6.

a b c (Å): 8.7429 8.7429 8.7429
angles (deg): 109.47 109.47 109.47
Element x y z (fractional)
Pm1 0.2976 0.1027 0.8051
Pm2 0.2976 0.4925 0.1949
Pm3 0.7024 0.5075 0.8051
Pm4 0.7024 0.8973 0.1949
Pm5 0.1027 0.8051 0.2976
Pm6 0.4925 0.1949 0.2976
Pm7 0.5075 0.8051 0.7024
Pm8 0.8973 0.1949 0.7024
Pm9 0.8051 0.2976 0.1027
Pm10 0.1949 0.2976 0.4925
Pm11 0.8051 0.7024 0.5075
Pm12 0.1949 0.7024 0.8973
Sn1 0.0000 0.0000 0.0000
Ru1 0.3788 0.5000 0.8788
Ru2 0.6212 0.5000 0.1212
Ru3 0.5000 0.8788 0.3788
Ru4 0.5000 0.1212 0.6212
Ru5 0.8788 0.3788 0.5000
Ru6 0.1212 0.6212 0.5000

Total magnetic moment ... 0.0 μB/f.u.
Space-group type ... Im-3 (204)
Calculated volume ... 514.4 Å³ per cell
Density of states at the Fermi level ... 19.1 states/eV per cell
Relative energy among the computed polymorphs ... 0 meV per atom
Energy of formation from the pure elements ... -0.24 eV/atom
DFT total energy ... -0.234 hartree per atom